Record 1
Density functional theory data (PBE-GGA) for a relaxed structure of MgCu2Se2.

Results
uncorrected formation energy = -171 meV per atom
density of states at the Fermi level = 4.06 states/eV per cell
final energy = -35.23 eV per cell

Cell: 3.995 6.380 6.985 Å, 90.00 90.00 90.00°
Space group Immm (No. 71)
Unique sites:
Mg1 0.000 0.000 0.000 (multiplicity 2)
Cu1 0.000 0.196 0.500 (multiplicity 4)
Se1 0.000 0.500 0.245 (multiplicity 4)


Record 2
Density functional theory data (PBE-GGA) for a relaxed structure of MgCu2PO6.

Results
uncorrected formation energy = -1420 meV per atom
density of states at the Fermi level = 10.33 states/eV per cell
final energy = -236.57 eV per cell

Cell: 8.911 11.213 5.148 Å, 90.00 114.67 90.00°
Space group C2/c (No. 15)
Unique sites:
Mg1 0.000 0.096 0.250 (multiplicity 4)
Cu1 0.120 0.411 0.128 (multiplicity 8)
P1 0.000 0.164 0.750 (multiplicity 4)
O1 0.086 0.229 0.038 (multiplicity 8)
O2 0.118 0.423 0.529 (multiplicity 8)
O3 0.122 0.075 0.694 (multiplicity 8)


The highest density of states at the Fermi level belongs to which entry? MgCu2PO6